[1]
4
Lattice="-0.2507 -2.5126 3.8180 0.4979 -4.2348 1.6648 6.5873 0.6208 1.7938" Properties=species:S:1:pos:R:3 comment="PBE-GGA KAlCu2, optimized geometry" e_form_ev_per_atom=0.1979 total_magnetization_mub_per_atom=0.000 pbc="T T T"
Cu 2.6902 -3.3023 3.5767
Al 1.7086 -1.5317 1.8192
Cu 0.9743 -6.5084 5.5445
K 5.1259 -4.5950 5.4575



[2]
4
Lattice="-2.6021 4.4839 0.3610 -4.9831 -1.1170 0.9632 4.3545 -1.5993 2.3425" Properties=species:S:1:pos:R:3 comment="PBE-GGA KAlCu2, optimized geometry" e_form_ev_per_atom=0.6388 total_magnetization_mub_per_atom=0.000 pbc="T T T"
Al -1.0201 2.2840 1.6828
Cu -2.2106 -0.5164 1.9839
K -3.7926 1.6835 0.6621
Cu 0.0000 0.0000 0.0000